DFT (PBE) results for a relaxed LiSiP2 crystal.

CIF file:
```
data_LiSiP2
_symmetry_space_group_name_H-M 'P 1'
_symmetry_Int_Tables_number 1
_cell_length_a 5.232
_cell_length_b 5.232
_cell_length_c 5.232
_cell_angle_alpha 144.83
_cell_angle_beta 133.35
_cell_angle_gamma 59.74
loop_
_symmetry_equiv_pos_as_xyz
'x,y,z'
loop_
_atom_site_label
_atom_site_fract_x
_atom_site_fract_y
_atom_site_fract_z
P1 0.949 0.949 0.000
P2 0.754 0.254 0.500
Si1 0.541 0.541 0.000
Li1 0.255 0.755 0.500
```

Output
Volume: 14.9 A^3/atom
E: -4.46 eV per atom
Symmetry: No. 44

DFT (PBE) results for a relaxed LiSiP2 crystal.

CIF file:
```
data_LiSiP2
_symmetry_space_group_name_H-M 'P 1'
_symmetry_Int_Tables_number 1
_cell_length_a 4.945
_cell_length_b 2.435
_cell_length_c 4.947
_cell_angle_alpha 90.00
_cell_angle_beta 90.00
_cell_angle_gamma 90.00
loop_
_symmetry_equiv_pos_as_xyz
'x,y,z'
loop_
_atom_site_label
_atom_site_fract_x
_atom_site_fract_y
_atom_site_fract_z
P1 0.000 0.250 0.875
P2 0.500 0.249 0.374
Li1 0.500 0.750 0.875
Si1 0.000 0.250 0.376
```

Output
Volume: 14.9 A^3/atom
E: -4.65 eV per atom
Symmetry: No. 123

DFT (PBE) results for a relaxed Li3SiP crystal.

CIF file:
```
data_Li3SiP
_symmetry_space_group_name_H-M 'P 1'
_symmetry_Int_Tables_number 1
_cell_length_a 4.621
_cell_length_b 4.621
_cell_length_c 4.621
_cell_angle_alpha 90.00
_cell_angle_beta 90.00
_cell_angle_gamma 90.00
loop_
_symmetry_equiv_pos_as_xyz
'x,y,z'
loop_
_atom_site_label
_atom_site_fract_x
_atom_site_fract_y
_atom_site_fract_z
Si1 0.000 0.000 0.000
Li1 0.500 0.000 0.000
Li2 0.000 0.000 0.500
Li3 0.000 0.500 0.000
P1 0.500 0.500 0.500
```

Output
Volume: 19.7 A^3/atom
E: -2.85 eV per atom
Symmetry: No. 221

DFT (PBE) results for a relaxed Li2SiP crystal.

CIF file:
```
data_Li2SiP
_symmetry_space_group_name_H-M 'P 1'
_symmetry_Int_Tables_number 1
_cell_length_a 3.695
_cell_length_b 3.695
_cell_length_c 9.121
_cell_angle_alpha 78.31
_cell_angle_beta 78.31
_cell_angle_gamma 90.00
loop_
_symmetry_equiv_pos_as_xyz
'x,y,z'
loop_
_atom_site_label
_atom_site_fract_x
_atom_site_fract_y
_atom_site_fract_z
Li1 0.635 0.125 0.250
Li2 0.115 0.625 0.250
Li3 0.375 0.365 0.750
Li4 0.875 0.885 0.750
Si1 0.500 0.500 0.000
Si2 0.250 0.750 0.500
P1 0.750 0.250 0.500
P2 0.000 0.000 0.000
```

Output
Volume: 14.9 A^3/atom
E: -3.77 eV per atom
Symmetry: No. 122

DFT (PBE) results for a relaxed LiSiP2 crystal.

CIF file:
```
data_LiSiP2
_symmetry_space_group_name_H-M 'P 1'
_symmetry_Int_Tables_number 1
_cell_length_a 3.579
_cell_length_b 3.991
_cell_length_c 3.991
_cell_angle_alpha 90.00
_cell_angle_beta 90.00
_cell_angle_gamma 90.00
loop_
_symmetry_equiv_pos_as_xyz
'x,y,z'
loop_
_atom_site_label
_atom_site_fract_x
_atom_site_fract_y
_atom_site_fract_z
P1 0.000 0.000 0.000
P2 0.000 0.500 0.500
Si1 0.500 0.500 0.000
Li1 0.500 0.000 0.500
```

Output
Volume: 14.3 A^3/atom
E: -4.40 eV per atom
Symmetry: No. 123

DFT (PBE) results for a relaxed Li2SiP crystal.

CIF file:
```
data_Li2SiP
_symmetry_space_group_name_H-M 'P 1'
_symmetry_Int_Tables_number 1
_cell_length_a 4.489
_cell_length_b 4.489
_cell_length_c 4.847
_cell_angle_alpha 79.95
_cell_angle_beta 79.95
_cell_angle_gamma 35.56
loop_
_symmetry_equiv_pos_as_xyz
'x,y,z'
loop_
_atom_site_label
_atom_site_fract_x
_atom_site_fract_y
_atom_site_fract_z
Si1 0.250 0.250 0.250
P1 0.750 0.750 0.750
Li1 0.005 0.005 0.995
Li2 0.495 0.495 0.505
```

Output
Volume: 14.0 A^3/atom
E: -3.78 eV per atom
Symmetry: No. 12